# 1
Crystalline Ca2PPd6 at its relaxed geometry. Source: the Alexandria database, functional GGA-PBE.

Unit cell a=5.768 b=5.801 c=5.757 alpha=75.86 beta=90.00 gamma=119.81
Element x y z (fractional)
Ca: 0.635 0.270 0.186
Ca: 0.365 0.730 0.814
P: 0.000 0.000 0.000
Pd: 0.882 0.271 0.706
Pd: 0.878 0.757 0.710
Pd: 0.390 0.271 0.706
Pd: 0.118 0.729 0.294
Pd: 0.122 0.243 0.290
Pd: 0.610 0.729 0.294

Output
energy	-46.72	eV per formula unit
energy above the most stable polymorph in this dataset	0.0	meV/atom
magnetic moment	0.0	μB per formula unit

# 2
Crystalline CaP2Pd2 at its relaxed geometry. Source: the Alexandria database, functional GGA-PBE.

Unit cell a=7.463 b=7.463 c=3.042 alpha=90.00 beta=90.00 gamma=90.00
Element x y z (fractional)
P: 0.174 0.674 0.500
P: 0.674 0.826 0.500
P: 0.826 0.326 0.500
P: 0.326 0.174 0.500
Ca: 0.000 0.000 0.000
Ca: 0.500 0.500 0.000
Pd: 0.369 0.869 0.000
Pd: 0.869 0.631 0.000
Pd: 0.631 0.131 0.000
Pd: 0.131 0.369 0.000

Output
energy	-25.05	eV per formula unit
magnetic moment	0.0	μB per formula unit

# 3
Crystalline CaPmP2Pd4 at its relaxed geometry. Source: the Alexandria database, functional GGA-PBE.

Unit cell a=4.109 b=4.109 c=9.170 alpha=90.00 beta=90.00 gamma=90.00
Element x y z (fractional)
Ca: 0.000 0.000 0.500
Pm: 0.000 0.000 0.000
P: 0.500 0.500 0.378
P: 0.500 0.500 0.622
Pd: 0.000 0.500 0.239
Pd: 0.500 0.000 0.761
Pd: 0.500 0.000 0.239
Pd: 0.000 0.500 0.761

Output
energy	-44.34	eV per formula unit
magnetic moment	0.0	μB per formula unit

# 4
Crystalline CaPrP2Pd4 at its relaxed geometry. Source: the Alexandria database, functional GGA-PBE.

Unit cell a=4.109 b=4.109 c=9.286 alpha=90.00 beta=90.00 gamma=90.00
Element x y z (fractional)
Ca: 0.000 0.000 0.500
Pr: 0.000 0.000 0.000
P: 0.500 0.500 0.379
P: 0.500 0.500 0.621
Pd: 0.000 0.500 0.242
Pd: 0.500 0.000 0.758
Pd: 0.500 0.000 0.242
Pd: 0.000 0.500 0.758

Output
energy	-44.26	eV per formula unit
magnetic moment	0.0	μB per formula unit

# 5
Crystalline CaPrP2Pd5 at its relaxed geometry. Source: the Alexandria database, functional GGA-PBE.

Unit cell a=4.218 b=4.218 c=8.840 alpha=90.00 beta=90.00 gamma=90.00
Element x y z (fractional)
Ca: 0.000 0.000 0.500
Pr: 0.000 0.000 0.000
P: 0.500 0.500 0.130
P: 0.500 0.500 0.870
Pd: 0.000 0.500 0.264
Pd: 0.500 0.000 0.264
Pd: 0.000 0.500 0.736
Pd: 0.500 0.000 0.736
Pd: 0.500 0.500 0.500

Output
energy	-51.23	eV per formula unit
magnetic moment	0.0	μB per formula unit

# 6
Crystalline CaPrP2Pd2 at its relaxed geometry. Source: the Alexandria database, functional GGA-PBE.

Unit cell a=4.176 b=4.176 c=8.099 alpha=90.00 beta=90.00 gamma=120.00
Element x y z (fractional)
Ca: 0.000 0.000 0.500
Pr: 0.000 0.000 0.000
P: 0.667 0.333 0.756
P: 0.333 0.667 0.244
Pd: 0.667 0.333 0.256
Pd: 0.333 0.667 0.744

Output
energy	-34.85	eV per formula unit
magnetic moment	0.0	μB per formula unit

# 7
Crystalline Ca4P3Pd12Pt at its relaxed geometry. Source: the Alexandria database, functional GGA-PBE.

Unit cell a=8.089 b=8.089 c=8.089 alpha=109.47 beta=109.47 gamma=109.47
Element x y z (fractional)
Ca: 0.500 0.500 0.500
Ca: 0.000 0.000 0.500
Ca: 0.500 0.000 0.000
Ca: 0.000 0.500 0.000
P: 0.500 0.000 0.500
P: 0.500 0.500 0.000
P: 0.000 0.500 0.500
Pd: 0.250 0.500 0.750
Pd: 0.731 0.000 0.731
Pd: 0.269 0.000 0.269
Pd: 0.750 0.500 0.250
Pd: 0.731 0.731 0.000
Pd: 0.269 0.269 0.000
Pd: 0.750 0.250 0.500
Pd: 0.250 0.750 0.500
Pd: 0.500 0.250 0.750
Pd: 0.000 0.731 0.731
Pd: 0.500 0.750 0.250
Pd: 0.000 0.269 0.269
Pt: 0.000 0.000 0.000

Output
energy	-102.37	eV per formula unit
magnetic moment	0.0	μB per formula unit

# 8
Crystalline CaP2Pd2Pt at its relaxed geometry. Source: the Alexandria database, functional GGA-PBE.

Unit cell a=4.140 b=6.371 c=8.979 alpha=90.00 beta=90.00 gamma=90.00
Element x y z (fractional)
Ca: 0.500 0.500 0.000
Ca: 0.000 0.000 0.500
P: 0.500 0.733 0.304
P: 0.500 0.267 0.696
P: 0.000 0.767 0.804
P: 0.000 0.233 0.196
Pd: 0.500 0.060 0.201
Pd: 0.000 0.560 0.299
Pd: 0.500 0.940 0.799
Pd: 0.000 0.440 0.701
Pt: 0.000 0.000 0.000
Pt: 0.500 0.500 0.500

Output
energy	-32.68	eV per formula unit
magnetic moment	0.0	μB per formula unit

# 9
Crystalline CaPPdPt2 at its relaxed geometry. Source: the Alexandria database, functional GGA-PBE.

Unit cell a=4.597 b=4.597 c=4.588 alpha=90.00 beta=90.00 gamma=90.00
Element x y z (fractional)
P: 0.000 0.000 0.000
Ca: 0.500 0.500 0.500
Pd: 0.000 0.000 0.500
Pt: 0.000 0.500 0.000
Pt: 0.500 0.000 0.000

Output
energy	-27.85	eV per formula unit
magnetic moment	0.0	μB per formula unit

# 10
Crystalline RbCaP2Pd4 at its relaxed geometry. Source: the Alexandria database, functional GGA-PBE.

Unit cell a=4.146 b=4.146 c=10.901 alpha=90.00 beta=90.00 gamma=90.00
Element x y z (fractional)
Rb: 0.000 0.000 0.500
Ca: 0.000 0.000 0.000
P: 0.500 0.500 0.297
P: 0.500 0.500 0.703
Pd: 0.000 0.500 0.204
Pd: 0.500 0.000 0.796
Pd: 0.500 0.000 0.204
Pd: 0.000 0.500 0.796

Output
energy	-38.94	eV per formula unit
magnetic moment	0.0	μB per formula unit

Energy of formation readings, ordered: -6.15; -1.84; -5.99; -5.89; -7.67; -6.86; -9.78; -3.43; -3.16; -4.38 eV/f.u.